Here is a relaxed La4AgCl5 crystal from the Alexandria database. Energies are from GGA-PBE.

## Properties
- M_tot: 0.35 μB per formula unit
- Formation energy without anion corrections: -1582.3 meV per atom

a b c (Å): 18.3975 4.0515 8.8713
angles (deg): 90.00 104.41 90.00
Space group C2/m (No. 12)
Symmetry-distinct sites (fractional):
La 0.0112 0.0000 0.2488 [4 per cell]
La 0.1748 0.5000 0.0706 [4 per cell]
Ag 0.0000 0.5000 0.0000 [2 per cell]
Cl 0.0000 0.5000 0.5000 [2 per cell]
Cl 0.1575 0.0000 0.8179 [4 per cell]
Cl 0.1739 0.0000 0.3105 [4 per cell]

Here is a relaxed La2AgCl crystal from the Alexandria database. Energies are from GGA-PBE.

## Properties
- M_tot: 0.08 μB per formula unit
- Distance to the lowest polymorph of the same formula: 75.0 kJ/mol of atoms
- Formation energy without anion corrections: -96.0 meV per atom

a b c (Å): 7.4724 7.4724 7.4724
angles (deg): 90.00 90.00 90.00
Space group F-43m (No. 216)
Symmetry-distinct sites (fractional):
La 0.0000 0.0000 0.0000 [4 per cell]
La 0.2500 0.2500 0.2500 [4 per cell]
Ag 0.0000 0.0000 0.5000 [4 per cell]
Cl 0.2500 0.2500 0.7500 [4 per cell]

Here is a relaxed LaAg2Cl crystal from the Alexandria database. Energies are from GGA-PBE.

## Properties
- M_tot: 0.00 μB per formula unit
- Distance to the lowest polymorph of the same formula: 0.9 kJ/mol of atoms
- Formation energy without anion corrections: -660.3 meV per atom

a b c (Å): 7.9236 4.5649 7.0944
angles (deg): 90.00 110.61 90.00
Space group Cm (No. 8)
Symmetry-distinct sites (fractional):
La 0.0000 0.0000 0.0000 [2 per cell]
Ag 0.0558 0.5000 0.6503 [2 per cell]
Ag 0.2560 0.0000 0.7558 [2 per cell]
Cl 0.2348 0.5000 0.2153 [2 per cell]

Here is a relaxed LaAg2Cl crystal from the Alexandria database. Energies are from GGA-PBE.

## Properties
- M_tot: 0.00 μB per formula unit
- Distance to the lowest polymorph of the same formula: 12.2 kJ/mol of atoms
- Formation energy without anion corrections: -543.0 meV per atom

a b c (Å): 8.7219 8.7219 5.5865
angles (deg): 90.00 90.00 90.00
Space group I-42d (No. 122)
Symmetry-distinct sites (fractional):
La 0.0000 0.0000 0.0000 [4 per cell]
Ag 0.2397 0.2500 0.6250 [8 per cell]
Cl 0.0000 0.0000 0.5000 [4 per cell]

Here is a relaxed La2AgCl crystal from the Alexandria database. Energies are from GGA-PBE.

## Properties
- M_tot: 0.00 μB per formula unit
- Distance to the lowest polymorph of the same formula: 27.4 kJ/mol of atoms
- Formation energy without anion corrections: -589.9 meV per atom

a b c (Å): 3.9022 3.9022 31.1237
angles (deg): 90.00 90.00 120.00
Space group R3m (No. 160, hexagonal axes)
Symmetry-distinct sites (fractional):
La 0.0000 0.0000 0.0000 [3 per cell]
La 0.0000 0.0000 0.2357 [3 per cell]
Ag 0.0000 0.0000 0.7381 [3 per cell]
Cl 0.0000 0.0000 0.5083 [3 per cell]

Here is a relaxed LaAg2Cl crystal from the Alexandria database. Energies are from GGA-PBE.

## Properties
- M_tot: 0.00 μB per formula unit
- Distance to the lowest polymorph of the same formula: 0.0 kJ/mol of atoms
- Formation energy without anion corrections: -669.8 meV per atom

a b c (Å): 4.0785 4.0785 11.3178
angles (deg): 90.00 90.00 90.00
Space group I4/mmm (No. 139)
Symmetry-distinct sites (fractional):
La 0.0000 0.0000 0.0000 [2 per cell]
Ag 0.0000 0.5000 0.2500 [4 per cell]
Cl 0.0000 0.0000 0.5000 [2 per cell]

Here is a relaxed LaAgCl4 crystal from the Alexandria database. Energies are from GGA-PBE.

## Properties
- M_tot: 0.00 μB per formula unit
- Distance to the lowest polymorph of the same formula: 0.0 kJ/mol of atoms
- Formation energy without anion corrections: -1688.1 meV per atom

a b c (Å): 7.1153 4.2639 14.4576
angles (deg): 90.00 116.98 90.00
Space group P2_1/c (No. 14)
Symmetry-distinct sites (fractional):
La 0.0000 0.0000 0.0000 [2 per cell]
Ag 0.5000 0.0000 0.5000 [2 per cell]
Cl 0.0198 0.9999 0.3763 [4 per cell]
Cl 0.4354 0.0021 0.1040 [4 per cell]

Here is a relaxed La2Ag5Cl12 crystal from the Alexandria database. Energies are from GGA-PBE.

## Properties
- M_tot: 0.00 μB per formula unit
- Formation energy without anion corrections: -1234.3 meV per atom

a b c (Å): 7.2290 7.2740 11.6115
angles (deg): 79.31 76.42 72.92
Space group P-1 (No. 2)
Symmetry-distinct sites (fractional):
La 0.1833 0.1966 0.0322 [2 per cell]
Ag 0.1564 0.6507 0.2683 [2 per cell]
Ag 0.2439 0.0614 0.4448 [2 per cell]
Ag 0.5000 0.5000 0.5000 [1 per cell]
Cl 0.0743 0.0657 0.8466 [2 per cell]
Cl 0.1378 0.7355 0.4795 [2 per cell]
Cl 0.1964 0.5633 0.9038 [2 per cell]
Cl 0.2617 0.2976 0.2376 [2 per cell]
Cl 0.3874 0.2109 0.5764 [2 per cell]
Cl 0.4340 0.8418 0.1197 [2 per cell]

Here is a relaxed La3AgCl3 crystal from the Alexandria database. Energies are from GGA-PBE.

## Properties
- M_tot: 0.00 μB per formula unit
- Formation energy without anion corrections: -1384.8 meV per atom

a b c (Å): 6.0429 6.0429 6.0429
angles (deg): 90.00 90.00 90.00
Space group Pm-3m (No. 221)
Symmetry-distinct sites (fractional):
La 0.0000 0.0000 0.5000 [3 per cell]
Ag 0.0000 0.0000 0.0000 [1 per cell]
Cl 0.0000 0.5000 0.5000 [3 per cell]

Here is a relaxed La2AgCl crystal from the Alexandria database. Energies are from GGA-PBE.

## Properties
- M_tot: 0.00 μB per formula unit
- Distance to the lowest polymorph of the same formula: 10.8 kJ/mol of atoms
- Formation energy without anion corrections: -761.7 meV per atom

a b c (Å): 4.2341 4.2341 22.9035
angles (deg): 90.00 90.00 120.00
Space group R3m (No. 160, hexagonal axes)
Symmetry-distinct sites (fractional):
La 0.0000 0.0000 0.0000 [3 per cell]
La 0.0000 0.0000 0.1691 [3 per cell]
Ag 0.0000 0.0000 0.5850 [3 per cell]
Cl 0.0000 0.0000 0.4158 [3 per cell]

Here is a relaxed La4Ag2Cl crystal from the Alexandria database. Energies are from GGA-PBE.

## Properties
- M_tot: 0.00 μB per formula unit
- Distance to the lowest polymorph of the same formula: 15.3 kJ/mol of atoms
- Formation energy without anion corrections: -432.4 meV per atom

a b c (Å): 5.5006 5.5006 15.0112
angles (deg): 90.00 90.00 90.00
Space group I4/mmm (No. 139)
Symmetry-distinct sites (fractional):
La 0.0000 0.0000 0.1932 [4 per cell]
La 0.0000 0.5000 0.0000 [4 per cell]
Ag 0.0000 0.0000 0.3902 [4 per cell]
Cl 0.0000 0.0000 0.0000 [2 per cell]

Here is a relaxed LaAg2Cl crystal from the Alexandria database. Energies are from GGA-PBE.

## Properties
- M_tot: 0.00 μB per formula unit
- Distance to the lowest polymorph of the same formula: 16.3 kJ/mol of atoms
- Formation energy without anion corrections: -500.9 meV per atom

a b c (Å): 5.5313 9.1368 4.3287
angles (deg): 90.00 90.00 90.00
Space group Cmmm (No. 65)
Symmetry-distinct sites (fractional):
La 0.0000 0.0000 0.0000 [2 per cell]
Ag 0.2500 0.2500 0.5000 [4 per cell]
Cl 0.0000 0.5000 0.0000 [2 per cell]

Here is a relaxed LaAg2Cl crystal from the Alexandria database. Energies are from GGA-PBE.

## Properties
- M_tot: 0.00 μB per formula unit
- Distance to the lowest polymorph of the same formula: 3.2 kJ/mol of atoms
- Formation energy without anion corrections: -636.9 meV per atom

a b c (Å): 3.5511 3.6704 8.1246
angles (deg): 90.00 101.92 90.00
Space group Pm (No. 6)
Symmetry-distinct sites (fractional):
La 0.0000 0.0000 0.0000 [1 per cell]
Ag 0.1967 0.0000 0.4155 [1 per cell]
Ag 0.6220 0.5000 0.2578 [1 per cell]
Cl 0.4019 0.5000 0.7932 [1 per cell]

Here is a relaxed La2AgCl crystal from the Alexandria database. Energies are from GGA-PBE.

## Properties
- M_tot: 0.01 μB per formula unit
- Distance to the lowest polymorph of the same formula: 1.2 kJ/mol of atoms
- Formation energy without anion corrections: -860.7 meV per atom

a b c (Å): 7.7242 4.4375 7.1773
angles (deg): 90.00 110.83 90.00
Space group C2/m (No. 12)
Symmetry-distinct sites (fractional):
La 0.2433 0.0000 0.2314 [4 per cell]
Ag 0.0000 0.0000 0.5000 [2 per cell]
Cl 0.0000 0.5000 0.0000 [2 per cell]

Here is a relaxed LaAg2Cl crystal from the Alexandria database. Energies are from GGA-PBE.

## Properties
- M_tot: 0.00 μB per formula unit
- Distance to the lowest polymorph of the same formula: 3.5 kJ/mol of atoms
- Formation energy without anion corrections: -633.8 meV per atom

a b c (Å): 3.6076 3.6076 8.1153
angles (deg): 90.00 90.00 90.00
Space group P4mm (No. 99)
Symmetry-distinct sites (fractional):
La 0.0000 0.0000 0.0000 [1 per cell]
Ag 0.0000 0.0000 0.4079 [1 per cell]
Ag 0.5000 0.5000 0.2536 [1 per cell]
Cl 0.5000 0.5000 0.7986 [1 per cell]

Here is a relaxed La2AgCl crystal from the Alexandria database. Energies are from GGA-PBE.

## Properties
- M_tot: 0.00 μB per formula unit
- Distance to the lowest polymorph of the same formula: 32.0 kJ/mol of atoms
- Formation energy without anion corrections: -542.4 meV per atom

a b c (Å): 4.1742 6.1121 10.1945
angles (deg): 90.00 90.00 90.00
Space group Cmm2 (No. 35)
Symmetry-distinct sites (fractional):
La 0.0000 0.0000 0.0000 [2 per cell]
La 0.0000 0.5000 0.2877 [2 per cell]
Ag 0.0000 0.5000 0.7760 [2 per cell]
Cl 0.0000 0.0000 0.4793 [2 per cell]

Here is a relaxed LaAg2Cl crystal from the Alexandria database. Energies are from GGA-PBE.

## Properties
- M_tot: 0.00 μB per formula unit
- Distance to the lowest polymorph of the same formula: 38.8 kJ/mol of atoms
- Formation energy without anion corrections: -267.5 meV per atom

a b c (Å): 7.3744 7.3744 7.3744
angles (deg): 90.00 90.00 90.00
Space group Fm-3m (No. 225)
Symmetry-distinct sites (fractional):
La 0.0000 0.0000 0.0000 [4 per cell]
Ag 0.2500 0.2500 0.2500 [8 per cell]
Cl 0.0000 0.0000 0.5000 [4 per cell]

Here is a relaxed LaAgCl4 crystal from the Alexandria database. Energies are from GGA-PBE.

## Properties
- M_tot: 0.00 μB per formula unit
- Distance to the lowest polymorph of the same formula: 6.1 kJ/mol of atoms
- Formation energy without anion corrections: -1625.4 meV per atom

a b c (Å): 9.2047 10.9190 7.4746
angles (deg): 90.00 113.79 90.00
Space group C2/c (No. 15)
Symmetry-distinct sites (fractional):
La 0.0000 0.0042 0.2500 [4 per cell]
Ag 0.0000 0.3806 0.7500 [4 per cell]
Cl 0.0463 0.2039 0.0140 [8 per cell]
Cl 0.2324 0.4624 0.3659 [8 per cell]

Here is a relaxed La2AgCl crystal from the Alexandria database. Energies are from GGA-PBE.

## Properties
- M_tot: 0.02 μB per formula unit
- Distance to the lowest polymorph of the same formula: 12.7 kJ/mol of atoms
- Formation energy without anion corrections: -741.6 meV per atom

a b c (Å): 3.7725 3.9783 15.4699
angles (deg): 90.00 90.00 90.00
Space group Imm2 (No. 44)
Symmetry-distinct sites (fractional):
La 0.0000 0.0000 0.0000 [2 per cell]
La 0.0000 0.5000 0.2462 [2 per cell]
Ag 0.0000 0.5000 0.8443 [2 per cell]
Cl 0.0000 0.0000 0.5896 [2 per cell]

Here is a relaxed La4AgCl crystal from the Alexandria database. Energies are from GGA-PBE.

## Properties
- M_tot: 0.08 μB per formula unit
- Formation energy without anion corrections: 187.8 meV per atom

a b c (Å): 9.1557 9.1557 9.1557
angles (deg): 90.00 90.00 90.00
Space group F-43m (No. 216)
Symmetry-distinct sites (fractional):
La 0.1237 0.1237 0.1237 [16 per cell]
Ag 0.2500 0.2500 0.7500 [4 per cell]
Cl 0.0000 0.0000 0.5000 [4 per cell]

Here is a relaxed LaAgCl4 crystal from the Alexandria database. Energies are from GGA-PBE.

## Properties
- M_tot: 1.40 μB per formula unit
- Distance to the lowest polymorph of the same formula: 119.8 kJ/mol of atoms
- Formation energy without anion corrections: -446.7 meV per atom

a b c (Å): 8.3301 8.3301 8.3301
angles (deg): 90.00 90.00 90.00
Space group F-43m (No. 216)
Symmetry-distinct sites (fractional):
La 0.0000 0.0000 0.0000 [4 per cell]
Ag 0.2500 0.2500 0.7500 [4 per cell]
Cl 0.1248 0.1248 0.3752 [16 per cell]

Here is a relaxed La4Ag2Cl crystal from the Alexandria database. Energies are from GGA-PBE.

## Properties
- M_tot: 0.00 μB per formula unit
- Distance to the lowest polymorph of the same formula: 0.0 kJ/mol of atoms
- Formation energy without anion corrections: -591.0 meV per atom

a b c (Å): 13.3762 4.2260 8.9771
angles (deg): 90.00 123.94 90.00
Space group C2/m (No. 12)
Symmetry-distinct sites (fractional):
La 0.0930 0.0000 0.3881 [4 per cell]
La 0.1700 0.5000 0.0806 [4 per cell]
Ag 0.1195 0.5000 0.6765 [4 per cell]
Cl 0.0000 0.0000 0.0000 [2 per cell]

Here is a relaxed LaAg2Cl5 crystal from the Alexandria database. Energies are from GGA-PBE.

## Properties
- M_tot: 0.00 μB per formula unit
- Formation energy without anion corrections: -1384.2 meV per atom

a b c (Å): 13.3749 7.3824 10.3133
angles (deg): 90.00 113.67 90.00
Space group C2/c (No. 15)
Symmetry-distinct sites (fractional):
La 0.0000 0.0000 0.0000 [4 per cell]
Ag 0.1247 0.4375 0.1914 [8 per cell]
Cl 0.0000 0.1554 0.7500 [4 per cell]
Cl 0.0790 0.3328 0.4460 [8 per cell]
Cl 0.2118 0.1278 0.1467 [8 per cell]

Here is a relaxed La2AgCl crystal from the Alexandria database. Energies are from GGA-PBE.

## Properties
- M_tot: 0.01 μB per formula unit
- Distance to the lowest polymorph of the same formula: 18.4 kJ/mol of atoms
- Formation energy without anion corrections: -683.2 meV per atom

a b c (Å): 7.7111 7.7121 4.7400
angles (deg): 90.00 127.75 90.00
Space group C2/m (No. 12)
Symmetry-distinct sites (fractional):
La 0.0000 0.2354 0.0000 [4 per cell]
Ag 0.0000 0.5000 0.5000 [2 per cell]
Cl 0.0000 0.0000 0.5000 [2 per cell]

Here is a relaxed LaAg2Cl crystal from the Alexandria database. Energies are from GGA-PBE.

## Properties
- M_tot: 0.00 μB per formula unit
- Distance to the lowest polymorph of the same formula: 4.7 kJ/mol of atoms
- Formation energy without anion corrections: -620.8 meV per atom

a b c (Å): 5.0974 5.0974 7.1912
angles (deg): 90.00 90.00 90.00
Space group I-4m2 (No. 119)
Symmetry-distinct sites (fractional):
La 0.0000 0.0000 0.0000 [2 per cell]
Ag 0.0000 0.0000 0.5000 [2 per cell]
Ag 0.0000 0.5000 0.2500 [2 per cell]
Cl 0.0000 0.5000 0.7500 [2 per cell]

Here is a relaxed LaAg2Cl8 crystal from the Alexandria database. Energies are from GGA-PBE.

## Properties
- M_tot: 0.00 μB per formula unit
- Formation energy without anion corrections: -998.9 meV per atom

a b c (Å): 6.9986 6.9986 12.3296
angles (deg): 90.00 90.00 90.00
Space group I422 (No. 97)
Symmetry-distinct sites (fractional):
La 0.0000 0.0000 0.0000 [2 per cell]
Ag 0.0000 0.5000 0.2500 [4 per cell]
Cl 0.1743 0.3201 0.8852 [16 per cell]